(1)
Entry from the Alexandria database: Tl3SnN after structural relaxation (GGA-PBE).

Structure (extended XYZ):
```
5
Lattice="5.010 0.000 0.000 0.000 5.010 0.000 0.000 0.000 5.010" Properties=species:S:1:pos:R:3 pbc="T T T"
Tl 0.000 2.505 0.000
Tl 0.000 0.000 2.505
Tl 2.505 0.000 0.000
Sn 2.505 2.505 2.505
N 0.000 0.000 0.000
```

Summary:
E_form (uncorrected), eV/atom: 0.65
Crystal system: cubic
Energy above the lowest structure with this stoichiometry, meV/atom: 0

(2)
Entry from the Alexandria database: NbHF6 after structural relaxation (GGA-PBE).

Structure (extended XYZ):
```
8
Lattice="5.010 -0.102 1.139 2.385 4.568 0.795 3.501 1.706 5.639" Properties=species:S:1:pos:R:3 pbc="T T T"
Nb 0.000 0.000 0.000
H 5.448 3.086 3.786
F 4.626 3.044 4.588
F 7.197 1.629 5.402
F 4.139 1.346 2.015
F 3.700 4.543 2.171
F 6.271 3.128 2.985
F 6.757 4.826 5.558
```

Summary:
Crystal system: triclinic

For reference, uncorrected energy by record: -16.201 -45.517 eV per formula unit.